1.
The following is a GGA-PBE calculation of a geometry-optimized SrAcY2Se4 structure, from the Alexandria database.

a = 7.3729 Å, b = 4.2207 Å, c = 7.4335 Å
α = 90.00°, β = 108.92°, γ = 90.00°
Space group P2/m (No. 10)
One atom of each set of equivalent atoms:
Sr: 0.0000 0.0000 0.0000 x1
Ac: 0.5000 0.5000 0.0000 x1
Y: 0.0000 0.5000 0.5000 x1
Y: 0.5000 0.0000 0.5000 x1
Se: 0.2379 0.0000 0.7263 x2
Se: 0.2540 0.5000 0.2714 x2

Calculated values
Total energy, eV/cell: -47.4
Formation energy (no corrections), eV/atom: -1.84
V, Å³ per cell: 218.8
M_tot, Bohr magnetons per cell: 0.00
DOS(E_F), states/eV per atom: 0.423



2.
The following is a GGA-PBE calculation of a geometry-optimized SrAc2YSe4 structure, from the Alexandria database.

a = 7.5172 Å, b = 4.3187 Å, c = 7.6256 Å
α = 90.00°, β = 108.89°, γ = 90.00°
Space group P2/m (No. 10)
One atom of each set of equivalent atoms:
Sr: 0.0000 0.0000 0.0000 x1
Ac: 0.0000 0.5000 0.5000 x1
Ac: 0.5000 0.0000 0.5000 x1
Y: 0.5000 0.5000 0.0000 x1
Se: 0.2545 0.5000 0.2347 x2
Se: 0.2657 0.0000 0.7722 x2

Calculated values
Total energy, eV/cell: -45.1
Formation energy (no corrections), eV/atom: -1.85
V, Å³ per cell: 234.2
M_tot, Bohr magnetons per cell: 0.00
DOS(E_F), states/eV per atom: 0.474



3.
The following is a GGA-PBE calculation of a geometry-optimized Ac6TaSe12 structure, from the Alexandria database.

a = 13.1079 Å, b = 13.1079 Å, c = 12.6159 Å
α = 90.00°, β = 90.00°, γ = 120.00°
Space group R-3 (No. 148, hexagonal axes)
One atom of each set of equivalent atoms:
Ac: 0.0570 0.6095 0.3117 x18
Ta: 0.0000 0.0000 0.0000 x3
Se: 0.0408 0.8190 0.4012 x18
Se: 0.0543 0.8671 0.8855 x18

Calculated values
Total energy, eV/cell: -330.0
Formation energy (no corrections), eV/atom: -1.67
V, Å³ per cell: 1877.2
M_tot, Bohr magnetons per cell: 0.00
DOS(E_F), states/eV per atom: 0.688



4.
The following is a GGA-PBE calculation of a geometry-optimized Ac2Ta2Se7 structure, from the Alexandria database.

a = 8.4494 Å, b = 13.4632 Å, c = 7.1013 Å
α = 90.00°, β = 98.90°, γ = 90.00°
Space group C2/m (No. 12)
One atom of each set of equivalent atoms:
Ac: 0.0000 0.1788 0.0000 x4
Ta: 0.2433 0.0000 0.6153 x4
Se: 0.0000 0.5000 0.5000 x2
Se: 0.0672 0.0000 0.2860 x4
Se: 0.2110 0.3371 0.2171 x8

Calculated values
Total energy, eV/cell: -136.2
Formation energy (no corrections), eV/atom: -1.07
V, Å³ per cell: 798.1
M_tot, Bohr magnetons per cell: 4.13
DOS(E_F), states/eV per atom: 0.201



5.
The following is a GGA-PBE calculation of a geometry-optimized AcTaSe4 structure, from the Alexandria database.

a = 8.7036 Å, b = 14.7340 Å, c = 6.5595 Å
α = 90.00°, β = 125.38°, γ = 90.00°
Space group C2/c (No. 15)
One atom of each set of equivalent atoms:
Ac: 0.0000 0.1291 0.2500 x4
Ta: 0.0000 0.4160 0.7500 x4
Se: 0.1304 0.2939 0.6359 x8
Se: 0.2310 0.4651 0.2191 x8

Calculated values
Total energy, eV/cell: -147.8
Formation energy (no corrections), eV/atom: -1.18
V, Å³ per cell: 685.8
M_tot, Bohr magnetons per cell: 0.00
DOS(E_F), states/eV per atom: 0.009



6.
The following is a GGA-PBE calculation of a geometry-optimized AcTaSe3 structure, from the Alexandria database.

a = 15.1224 Å, b = 4.3183 Å, c = 7.9803 Å
α = 90.00°, β = 95.80°, γ = 90.00°
Space group C2/m (No. 12)
One atom of each set of equivalent atoms:
Ac: 0.1081 0.0000 0.3986 x4
Ta: 0.2035 0.5000 0.9126 x4
Se: 0.0613 0.5000 0.6743 x4
Se: 0.1201 0.0000 0.0197 x4
Se: 0.2416 0.5000 0.2707 x4

Calculated values
Total energy, eV/cell: -130.6
Formation energy (no corrections), eV/atom: -1.25
V, Å³ per cell: 518.5
M_tot, Bohr magnetons per cell: 0.00
DOS(E_F), states/eV per atom: 0.303



7.
The following is a GGA-PBE calculation of a geometry-optimized Ac2TaSe5 structure, from the Alexandria database.

a = 7.4035 Å, b = 7.4035 Å, c = 8.4490 Å
α = 90.00°, β = 90.00°, γ = 90.00°
Space group I4mm (No. 107)
One atom of each set of equivalent atoms:
Ac: 0.0000 0.5000 0.0000 x4
Ta: 0.0000 0.0000 0.1799 x2
Se: 0.0000 0.0000 0.9091 x2
Se: 0.2397 0.2397 0.2402 x8

Calculated values
Total energy, eV/cell: -96.4
Formation energy (no corrections), eV/atom: -1.34
V, Å³ per cell: 463.1
M_tot, Bohr magnetons per cell: 0.00
DOS(E_F), states/eV per atom: 0.359



8.
The following is a GGA-PBE calculation of a geometry-optimized AcTaSe2 structure, from the Alexandria database.

a = 3.5958 Å, b = 3.5958 Å, c = 28.8791 Å
α = 90.00°, β = 90.00°, γ = 120.00°
Space group R-3m (No. 166, hexagonal axes)
One atom of each set of equivalent atoms:
Ac: 0.0000 0.0000 0.0000 x3
Ta: 0.0000 0.0000 0.5000 x3
Se: 0.0000 0.0000 0.1100 x6

Calculated values
Total energy, eV/cell: -75.3
Formation energy (no corrections), eV/atom: -0.54
V, Å³ per cell: 323.4
M_tot, Bohr magnetons per cell: 0.01
DOS(E_F), states/eV per atom: 0.928



> What is the M_tot in the first record?

0.00 Bohr magnetons per cell